No. 1
Entry from the Alexandria database: a relaxed Tm2HfPd9 crystal (PBE).

POSCAR file:
```
Tm2HfPd9
1.0
4.0591 0.0000 0.0000
0.0000 4.0591 0.0000
0.0000 0.0000 12.2304
Tm Hf Pd
2 1 9
direct
0.0000 0.0000 0.3321
0.0000 0.0000 0.6679
0.0000 0.0000 0.0000
0.5000 0.5000 0.0000
0.5000 0.5000 0.3294
0.5000 0.5000 0.6706
0.5000 0.0000 0.1594
0.5000 0.0000 0.5000
0.5000 0.0000 0.8406
0.0000 0.5000 0.1594
0.0000 0.5000 0.5000
0.0000 0.5000 0.8406
```

Crystal system: tetragonal
Magnetic moment: 0.0 μB per formula unit
Formation enthalpy at 0 K: -0.91 eV per atom

=====

No. 2
Entry from the Alexandria database: a relaxed CaSbPb2 crystal (PBE).

POSCAR file:
```
CaSbPb2
1.0
6.7064 0.0516 -0.0275
5.3643 4.0253 -0.0275
1.8496 0.6247 4.5843
Pb Sb Ca
2 1 1
direct
0.0299 0.0299 0.9702
0.4701 0.4701 0.5298
0.7500 0.7500 0.7500
0.2500 0.2500 0.2500
```

E_form (uncorrected): -0.363 eV per atom
Crystal system: monoclinic
Magnetic moment: 0.0 μB per formula unit

=====

No. 3
Entry from the Alexandria database: a relaxed Zn2AgAu crystal (PBE).

POSCAR file:
```
Zn2AgAu
1.0
5.0807 -0.0541 -0.0847
2.1362 4.6101 0.0847
-3.5518 -2.3677 2.7572
Zn Au Ag
2 1 1
direct
0.0000 0.0000 0.0000
0.7506 0.2506 0.5000
0.2492 0.7492 0.5000
0.5000 0.5000 0.0000
```

Energy above the lowest structure with this stoichiometry: 4 meV per atom
Crystal system: orthorhombic
Magnetic moment: 0.0 μB per formula unit
Formation enthalpy at 0 K: -0.14 eV per atom

=====

No. 4
Entry from the Alexandria database: a relaxed CsIn7Hg12 crystal (PBE).

POSCAR file:
```
CsIn7Hg12
1.0
-0.7799 5.9547 7.3860
-7.2330 1.4445 -6.0180
-0.2242 -8.9867 3.1318
Cs In Hg
1 7 12
direct
0.0000 0.0000 0.0000
0.5000 0.0000 0.5000
0.5000 0.5000 0.0000
0.0000 0.5000 0.5000
0.0000 0.0000 0.5000
0.5000 0.0000 0.0000
0.5000 0.5000 0.5000
0.0000 0.5000 0.0000
0.3443 0.2294 0.5737
0.3443 0.7706 0.1149
0.6557 0.7706 0.4263
0.6557 0.2294 0.8851
0.5737 0.3443 0.2294
0.8851 0.6557 0.2294
0.4263 0.6557 0.7706
0.1149 0.3443 0.7706
0.7706 0.1149 0.3443
0.2294 0.8851 0.6557
0.2294 0.5737 0.3443
0.7706 0.4263 0.6557
```

Crystal system: cubic
Magnetic moment: 0.0 μB per formula unit
Formation enthalpy at 0 K: 0.03 eV per atom

=====

No. 5
Entry from the Alexandria database: a relaxed Ba2Al3Zn4In crystal (PBE).

POSCAR file:
```
Ba2Al3Zn4In
1.0
-3.7387 0.8484 2.4958
2.3294 -0.9643 3.8172
3.0589 10.8833 0.8826
Ba Al Zn In
2 3 4 1
direct
0.5000 0.0000 0.2416
0.0000 0.5000 0.7584
0.0000 0.0000 0.5000
0.5000 0.0000 0.8794
0.0000 0.5000 0.1206
0.5000 0.5000 0.0000
0.0000 0.0000 0.0000
0.5000 0.0000 0.6422
0.0000 0.5000 0.3578
0.5000 0.5000 0.5000
```

Crystal system: tetragonal
Magnetic moment: 0.0 μB per formula unit
Formation enthalpy at 0 K: -0.23 eV per atom

=====

No. 6
Entry from the Alexandria database: a relaxed YVIN2 crystal (PBE).

POSCAR file:
```
YVIN2
1.0
-3.2164 -1.5340 2.4200
-0.0030 -3.6363 -2.3091
3.9076 -2.3538 3.7016
I Y N V
1 1 2 1
direct
0.0000 0.0000 0.5000
0.0000 0.0000 0.0000
0.0000 0.5000 0.0000
0.5000 0.0000 0.0000
0.5000 0.5000 0.5000
```

Energy above the lowest structure with this stoichiometry: 1147 meV per atom
E_form (uncorrected): 1.294 eV per atom
Crystal system: tetragonal
Magnetic moment: 0.2 μB per formula unit

=====

No. 7
Entry from the Alexandria database: a relaxed Zr2Al2Ni crystal (PBE).

POSCAR file:
```
Zr2Al2Ni
1.0
-1.9791 1.9791 6.5429
1.9791 -1.9791 6.5429
1.9791 1.9791 -6.5429
Zr Al Ni
2 2 1
direct
0.2500 0.7500 0.5000
0.7500 0.2500 0.5000
0.5909 0.5909 0.0000
0.4091 0.4091 0.0000
0.0000 0.0000 0.0000
```

Energy above the lowest structure with this stoichiometry: 965 meV per atom
Crystal system: tetragonal
Magnetic moment: 0.0 μB per formula unit
Formation enthalpy at 0 K: 0.47 eV per atom

=====

No. 8
Entry from the Alexandria database: a relaxed Na2LiGaP2 crystal (PBE).

POSCAR file:
```
Na2LiGaP2
1.0
-1.4025 0.5589 5.5134
-0.0394 -6.0185 0.6001
7.2960 2.8522 -1.3966
Na Li Ga P
4 2 2 4
direct
0.4118 0.1782 0.3565
0.5882 0.8218 0.6435
0.0553 0.3218 0.6435
0.9447 0.6782 0.3565
0.0000 0.7500 0.0000
0.0000 0.2500 0.0000
0.5000 0.7500 0.0000
0.5000 0.2500 0.0000
0.8324 0.1039 0.2079
0.3755 0.6039 0.2079
0.6245 0.3961 0.7921
0.1676 0.8961 0.7921
```

Crystal system: orthorhombic
Magnetic moment: 0.0 μB per formula unit
Formation enthalpy at 0 K: -0.52 eV per atom

=====

No. 9
Entry from the Alexandria database: a relaxed Tm2GaHPd6 crystal (PBE).

POSCAR file:
```
Tm2GaHPd6
1.0
-0.6752 0.4657 5.6128
-5.3079 -4.1821 -0.2919
-1.2070 -5.8930 3.2103
Tm Ga H Pd
2 1 1 6
direct
0.7251 0.2796 0.5498
0.2750 0.7204 0.4502
0.0000 0.0000 0.0000
0.5000 0.5000 0.0000
0.2707 0.2364 0.4586
0.7687 0.7329 0.9584
0.2727 0.7328 0.9584
0.7273 0.2672 0.0416
0.2313 0.2671 0.0416
0.7293 0.7636 0.5414
```

Crystal system: monoclinic
Magnetic moment: 0.0 μB per formula unit
E: -53.80 eV/cell

=====

No. 10
Entry from the Alexandria database: a relaxed In2AuS crystal (PBE).

POSCAR file:
```
In2AuS
1.0
-3.1826 0.7336 1.9116
-2.9513 -2.3540 -0.2642
0.4808 -4.3421 6.2125
S Au In
1 1 2
direct
0.5000 0.5000 0.5000
0.0000 0.0000 0.0000
0.2483 0.2483 0.2552
0.7517 0.7517 0.7448
```

E_form (uncorrected): -0.311 eV per atom
Crystal system: trigonal
Magnetic moment: 0.0 μB per formula unit

=====

No. 11
Entry from the Alexandria database: a relaxed SrIn4Hg crystal (PBE).

POSCAR file:
```
SrIn4Hg
1.0
5.1998 0.0000 -1.6256
0.0000 7.3100 0.0000
-0.0683 0.0000 8.9107
Sr In Hg
2 8 2
direct
0.8219 0.9518 0.6438
0.1781 0.4518 0.3562
0.0001 0.2034 0.0002
0.9999 0.7034 0.9998
0.4842 0.9524 0.9685
0.5158 0.4524 0.0315
0.8254 0.4487 0.6508
0.1746 0.9487 0.3492
0.6411 0.1576 0.2823
0.3589 0.6576 0.7177
0.6520 0.7194 0.3040
0.3480 0.2194 0.6960
```

Energy above the lowest structure with this stoichiometry: 0 meV per atom
Crystal system: orthorhombic
Magnetic moment: 0.0 μB per formula unit
Formation enthalpy at 0 K: -0.23 eV per atom

=====

No. 12
Entry from the Alexandria database: a relaxed Li3W2N5 crystal (PBE).

POSCAR file:
```
Li3W2N5
1.0
9.1685 -0.0115 -0.0252
-7.2505 8.9766 0.0002
3.8360 3.0981 6.7533
Li W N
12 8 20
direct
0.5056 0.6613 0.9797
0.4944 0.3386 0.4855
0.8172 0.6558 0.0739
0.1828 0.3445 0.8911
0.6769 0.2694 0.6130
0.3233 0.7307 0.2896
0.8618 0.0925 0.2703
0.1381 0.9074 0.1323
0.0000 0.0000 0.6118
0.9999 0.5000 0.8617
0.0001 0.5000 0.2143
0.0001 0.0000 0.9643
0.1591 0.3919 0.4630
0.8410 0.6081 0.6221
0.6247 0.7328 0.4802
0.3753 0.2672 0.1049
0.4228 0.8120 0.8181
0.5772 0.1879 0.2409
0.2014 0.8893 0.6788
0.7986 0.1107 0.8802
0.2030 0.5135 0.2811
0.7970 0.4865 0.4841
0.8240 0.8104 0.2207
0.1761 0.1896 0.0446
0.9368 0.8367 0.8125
0.0632 0.1632 0.7493
0.7367 0.4000 0.1626
0.2633 0.6000 0.8993
0.2650 0.2993 0.3354
0.7349 0.7007 0.6005
0.3334 0.5342 0.5512
0.6666 0.4658 0.8846
0.2034 0.8257 0.8911
0.7966 0.1742 0.0945
0.4482 0.1224 0.5187
0.5518 0.8775 0.9669
0.6400 0.9047 0.5383
0.3600 0.0953 0.1783
0.1694 0.7647 0.5235
0.8306 0.2353 0.6930
```

E_form (uncorrected): -0.529 eV per atom
Crystal system: tetragonal
Magnetic moment: 0.0 μB per formula unit

=====

Computed ρ, in the same sequence as the records: 12.1 7.8 11.1 8.4 5.1 4.5 4.8 2.6 10.5 8.4 7.3 5.5 g/cm³.